[1]
VASP calculation (PBE) on an optimized crystal structure of SrBBrO2.

The space group is P2_1/m (No. 11) and the conventional cell measures 5.5950, 4.1656 and 7.8224 Å, with angles of 90.00, 100.48 and 90.00 degrees. The asymmetric unit holds Sr at (0.1771, 0.2500, 0.2377), B at (0.3498, 0.2500, 0.8561), Br at (0.2645, 0.7500, 0.5625), O at (0.1304, 0.2500, 0.8828) and O at (0.4233, 0.7500, 0.1447).

Its total energy is -0.234 hartree per atom. The calculation puts the volume at 17.927 Å³ per atom.

[2]
VASP calculation (PBE) on an optimized crystal structure of NaH2PtPb.

The space group is P4/mmm (No. 123) and the conventional cell measures 3.9682, 3.9682 and 6.3154 Å, with angles of 90.00, 90.00 and 90.00 degrees. The asymmetric unit holds Na at (0.0000, 0.0000, 0.0000), H at (0.0000, 0.5000, 0.5000), Pt at (0.5000, 0.5000, 0.0000) and Pb at (0.0000, 0.0000, 0.5000).

Its total energy is -0.104 hartree per atom. The calculation puts the volume at 19.889 Å³ per atom.

[3]
VASP calculation (PBE) on an optimized crystal structure of SrNb2Te.

The space group is I-42d (No. 122) and the conventional cell measures 4.6569, 4.6569 and 20.9801 Å, with angles of 90.00, 90.00 and 90.00 degrees. The asymmetric unit holds Sr at (0.0000, 0.0000, 0.0000), Nb at (0.0936, 0.2500, 0.6250) and Te at (0.0000, 0.0000, 0.5000).

Its total energy is -0.215 hartree per atom. The calculation puts the volume at 28.437 Å³ per atom.

[4]
VASP calculation (PBE) on an optimized crystal structure of NaMgGa2.

The space group is P4/mmm (No. 123) and the conventional cell measures 3.4044, 3.4044 and 7.4074 Å, with angles of 90.00, 90.00 and 90.00 degrees. The asymmetric unit holds Na at (0.0000, 0.0000, 0.0000), Mg at (0.0000, 0.0000, 0.5000) and Ga at (0.5000, 0.5000, 0.2855).

As for the formation energy from the elements: -0.37 eV per formula unit. The calculation puts the volume at 21.463 Å³ per atom.

[5]
VASP calculation (PBE) on an optimized crystal structure of MnAl2Fe.

The space group is R-3m (No. 166, hexagonal axes) and the conventional cell measures 2.6929, 2.6929 and 24.9008 Å, with angles of 90.00, 90.00 and 120.00 degrees. The asymmetric unit holds Mn at (0.0000, 0.0000, 0.0000), Al at (0.0000, 0.0000, 0.2499) and Fe at (0.0000, 0.0000, 0.5000).

As for the formation energy from the elements: -0.42 eV per formula unit. The calculation puts the volume at 13.032 Å³ per atom.

[6]
VASP calculation (PBE) on an optimized crystal structure of HoMnMo.

The space group is P4_12_12 (No. 92) and the conventional cell measures 6.5449, 6.5449 and 5.8253 Å, with angles of 90.00, 90.00 and 90.00 degrees. The asymmetric unit holds Ho at (0.2442, 0.2442, 0.0000), Mn at (0.0520, 0.0520, 0.5000) and Mo at (0.1939, 0.8061, 0.7500).

As for the formation energy from the elements: 1.73 eV per formula unit. The calculation puts the volume at 20.794 Å³ per atom.

[7]
VASP calculation (PBE) on an optimized crystal structure of Sn3AsSeS.

The space group is P2_1/m (No. 11) and the conventional cell measures 7.0399, 4.0329 and 11.2159 Å, with angles of 90.00, 97.36 and 90.00 degrees. The asymmetric unit holds Sn at (0.0163, 0.2500, 0.1650), Sn at (0.2435, 0.7500, 0.5322), Sn at (0.4812, 0.7500, 0.8560), As at (0.2487, 0.7500, 0.0526), Se at (0.3621, 0.2500, 0.3750) and S at (0.2105, 0.2500, 0.7361).

Its total energy is -0.157 hartree per atom. The calculation puts the volume at 26.318 Å³ per atom.

[8]
VASP calculation (PBE) on an optimized crystal structure of La2Y3ThSe6.

The space group is C2/m (No. 12) and the conventional cell measures 18.3804, 4.1377 and 8.4510 Å, with angles of 90.00, 105.24 and 90.00 degrees. The asymmetric unit holds La at (0.1634, 0.0000, 0.3277), Y at (0.0000, 0.5000, 0.5000), Y at (0.1667, 0.0000, 0.8341), Th at (0.0000, 0.5000, 0.0000), Se at (0.0057, 0.0000, 0.7435), Se at (0.1642, 0.5000, 0.5926) and Se at (0.1697, 0.5000, 0.0712).

Its total energy is -0.243 hartree per atom. The calculation puts the volume at 25.838 Å³ per atom.

[9]
VASP calculation (PBE) on an optimized crystal structure of Ta6TiRe5.

The space group is P2/m (No. 10) and the conventional cell measures 4.5383, 6.4189 and 7.1658 Å, with angles of 90.00, 108.52 and 90.00 degrees. The asymmetric unit holds Ta at (0.0000, 0.2485, 0.0000), Ta at (0.3319, 0.2488, 0.6640), Ti at (0.5000, 0.5000, 0.0000), Re at (0.1646, 0.5000, 0.3292), Re at (0.1674, 0.0000, 0.3349) and Re at (0.5000, 0.0000, 0.0000).

As for the formation energy from the elements: -4.54 eV per formula unit. The calculation puts the volume at 16.494 Å³ per atom.

[10]
VASP calculation (PBE) on an optimized crystal structure of TbIn2Pt9.

The space group is P4/mmm (No. 123) and the conventional cell measures 4.0818, 4.0818 and 12.1999 Å, with angles of 90.00, 90.00 and 90.00 degrees. The asymmetric unit holds Tb at (0.0000, 0.0000, 0.0000), In at (0.0000, 0.0000, 0.3366), Pt at (0.0000, 0.5000, 0.1717), Pt at (0.0000, 0.5000, 0.5000), Pt at (0.5000, 0.5000, 0.0000) and Pt at (0.5000, 0.5000, 0.3358).

As for the formation energy from the elements: -7.03 eV per formula unit. The calculation puts the volume at 16.939 Å³ per atom.

[11]
VASP calculation (PBE) on an optimized crystal structure of GdInIr2.

The space group is P4/mmm (No. 123) and the conventional cell measures 4.4808, 4.4808 and 3.7218 Å, with angles of 90.00, 90.00 and 90.00 degrees. The asymmetric unit holds Gd at (0.0000, 0.0000, 0.0000), In at (0.5000, 0.5000, 0.0000) and Ir at (0.0000, 0.5000, 0.5000).

As for the formation energy from the elements: -1.90 eV per formula unit. The calculation puts the volume at 18.681 Å³ per atom.

[12]
VASP calculation (PBE) on an optimized crystal structure of Sm2Tm2In.

The space group is I4/mmm (No. 139) and the conventional cell measures 4.3434, 4.3434 and 17.2784 Å, with angles of 90.00, 90.00 and 90.00 degrees. The asymmetric unit holds Sm at (0.0000, 0.5000, 0.2500), Tm at (0.0000, 0.0000, 0.0883) and In at (0.0000, 0.0000, 0.5000).

As for the formation energy from the elements: 1.68 eV per formula unit. The calculation puts the volume at 32.597 Å³ per atom.